Computed, not measured: PrVP2O8 after structural relaxation at the PBE+U level of DFT.

M_tot = 2.000 μB per cell
crystal system = trigonal
Fermi-level density of states = 4.3 states/eV/f.u.
final energy = -92.843 eV per cell

Lattice parameters (Å, degrees): 5.1605 5.1605 6.8007 90.00 90.00 120.00
Space group P-3m1 (No. 164)
Unique sites:
1 Pr 0.0000 0.0000 0.0000 x1
2 V 0.0000 0.0000 0.5000 x1
3 P 0.3333 0.6667 0.2318 x2
4 O 0.1693 0.3386 0.3037 x6
5 O 0.3333 0.6667 0.0057 x2